First-principles (PBE) data for crystalline BaCaAl2Pt at its relaxed geometry, as listed in Alexandria via LeMat-Bulk.

- size of the total moment (Bohr magnetons per cell) = 0.00
- formation energy (eV per atom) = -0.47
- calculated total energy (eV/atom) = -3.957

Lattice parameters (Å, degrees): 4.959 4.959 5.483 90.00 90.00 90.00
Sites, in units of the cell vectors:
1 Ca 0.000 0.000 0.500
2 Ba 0.500 0.500 0.500
3 Pt 0.000 0.000 0.000
4 Al 0.000 0.500 0.000
5 Al 0.500 0.000 0.000